Entry 1:
Material: BaPu2Cl11
Method: DFT, PBE
State: relaxed

Structure (POSCAR):
```
BaPu2Cl11
1.0
-4.504 -1.835 10.940
0.062 -9.744 4.942
6.134 -0.227 9.038
Ba Pu Cl
2 4 22
Cartesian
1.269 -8.854 18.691
0.423 -2.951 6.230
-0.851 -7.726 13.554
2.543 -4.079 11.367
1.376 -3.297 17.569
0.317 -8.508 7.352
0.686 -8.016 15.591
1.006 -3.789 9.329
3.823 -5.931 10.130
1.157 -10.782 21.320
-2.131 -5.874 14.791
0.536 -1.023 3.600
3.915 -8.851 16.780
-2.222 -2.954 8.140
0.846 -5.903 12.460
0.000 0.000 0.000
-2.376 -9.360 14.548
4.068 -2.445 10.373
1.154 -4.401 15.396
0.538 -7.405 9.525
0.345 -9.667 12.368
1.348 -2.139 12.553
4.162 -4.278 13.352
3.331 -1.642 6.902
-2.469 -7.527 11.568
-1.639 -10.163 18.019
0.051 -6.189 6.279
1.642 -5.617 18.641
```

magnetization	0.500	μB per atom
E_form (uncorrected)	-1.686	eV per atom
symmetry	Ibam (72)

---

Entry 2:
Material: BaPuCl2
Method: DFT, PBE
State: relaxed

Structure (POSCAR):
```
BaPuCl2
1.0
-3.266 -1.647 2.026
0.094 -4.000 1.214
2.740 0.704 9.305
Cl Ba Pu
2 1 1
Cartesian
1.471 -0.161 6.555
-1.902 -4.782 5.990
0.000 0.000 0.000
-0.216 -2.471 6.272
```

magnetization	1.621	μB per atom
E_form (uncorrected)	-1.270	eV per atom
symmetry	R-3m (166)

---

Entry 3:
Material: BaPu4Cl12
Method: DFT, PBE
State: relaxed

Structure (POSCAR):
```
BaPu4Cl12
1.0
8.620 0.000 -3.048
-4.310 7.465 -3.048
0.000 0.000 9.143
Ba Pu Cl
1 4 12
Cartesian
0.000 0.000 0.000
-2.155 3.733 -1.524
4.310 0.000 -1.524
2.155 3.733 1.524
0.000 0.000 4.571
5.912 2.099 -2.392
0.464 3.395 -0.656
6.944 1.296 3.324
1.960 0.803 6.371
-2.634 6.170 -0.276
3.846 4.071 3.704
3.172 1.296 0.656
1.138 6.170 2.392
2.350 6.662 -3.324
4.026 5.366 0.276
0.284 2.099 2.772
-1.602 5.366 5.439
```

magnetization	1.294	μB per atom
E_form (uncorrected)	-1.990	eV per atom
symmetry	Im-3 (204)

---

Entry 4:
Material: Rb2BaPuCl6
Method: DFT, PBE
State: relaxed

Structure (POSCAR):
```
Rb2BaPuCl6
1.0
-7.407 -1.580 2.083
-0.970 -4.451 -6.827
3.583 -9.144 5.453
Rb Ba Pu Cl
4 2 2 12
Cartesian
-0.188 -6.478 -4.976
-1.741 -10.192 1.318
-4.606 -8.697 5.684
-3.053 -4.983 -0.610
-3.704 -0.790 1.041
1.307 -6.797 -0.687
-1.912 -5.362 3.768
-0.485 -2.226 -3.413
-2.604 -4.104 -3.814
-4.623 -9.954 -0.794
-2.190 -11.071 4.522
-0.171 -5.221 1.503
-1.425 -7.658 -1.830
-3.411 -13.358 1.420
-3.369 -7.517 2.539
-1.383 -1.817 -0.711
-6.221 -6.019 -0.586
-1.120 -11.611 -1.677
1.427 -9.156 1.294
-3.674 -3.564 2.386
```

magnetization	0.599	μB per atom
E_form (uncorrected)	-2.040	eV per atom
symmetry	P2_1/c (14)